[1]
The following is a PBE calculation of a relaxed AlRuAu crystal, from Alexandria.

Lattice parameters (Å, degrees): 2.8896 2.8896 6.4613 90.00 90.00 120.00
Closest atoms and distances in Å follow each position.
Positions (direct):
Al1 0.0000 0.0000 0.0000  3 Ru 2.51, 3 Au 2.75
Ru1 0.3333 0.6667 0.7102  3 Al 2.51
Au1 0.6667 0.3333 0.3382  3 Al 2.75, 6 Au 2.89, 3 Ru 2.93

Properties
electronic total energy	-5.538	eV per atom
density of states at the Fermi level	2.80	states/eV per cell
DFT formation energy	-0.1057	eV per atom
distance to the lowest polymorph of the same formula	89.0	meV/atom

***

[2]
The following is a PBE calculation of a relaxed AlRuAu2 crystal, from Alexandria.

Lattice parameters (Å, degrees): 2.8450 3.8846 5.8084 90.00 90.00 90.00
Closest atoms and distances in Å follow each position.
Positions (direct):
Al1 0.0000 0.0000 0.0000  8 Au 2.80, 2 Al 2.85, 2 Ru 2.90
Ru1 0.0000 0.0000 0.5000  8 Au 2.83, 2 Ru 2.85, 2 Al 2.90
Au1 0.5000 0.5000 0.2451  4 Al 2.80, 4 Ru 2.83, 4 Au 2.85-2.96
Au2 0.5000 0.5000 0.7549  4 Al 2.80, 4 Ru 2.83, 4 Au 2.85-2.96

Properties
electronic total energy	-4.827	eV per atom
density of states at the Fermi level	3.03	states/eV per cell
DFT formation energy	0.0662	eV per atom

***

[3]
The following is a PBE calculation of a relaxed Al3RuAu crystal, from Alexandria.

Lattice parameters (Å, degrees): 4.6631 4.6631 4.6631 90.00 90.00 90.00
Closest atoms and distances in Å follow each position.
Positions (direct):
Al1 0.0000 0.0000 0.5000  2 Ru 2.33
Al2 0.0000 0.5000 0.0000  2 Ru 2.33
Al3 0.5000 0.0000 0.0000  2 Ru 2.33
Ru1 0.0000 0.0000 0.0000  6 Al 2.33
Au1 0.5000 0.5000 0.5000  12 Al 3.30

Properties
electronic total energy	-4.730	eV per atom
density of states at the Fermi level	2.05	states/eV per cell
DFT formation energy	0.0257	eV per atom
distance to the lowest polymorph of the same formula	0.0	meV/atom